Density functional theory data (PBE) for a geometry-optimized Cs5K4Cd4 structure.

Results
DOS(E_F) in states/eV/atom: 0.751
Calculated volume in Å³/cell: 795.32
Formation enthalpy at 0 K in eV per atom: -0.008
Calculated density in g/cm3: 2.7

Unit cell a=12.010 b=12.010 c=12.010 alpha=93.42 beta=93.42 gamma=151.74
Element x y z (fractional)
Cs 0.000 0.000 0.000
Cs 0.301 0.629 0.930
Cs 0.371 0.301 0.672
Cs 0.629 0.699 0.328
Cs 0.699 0.371 0.070
K 0.111 0.412 0.523
K 0.412 0.889 0.301
K 0.588 0.111 0.699
K 0.889 0.588 0.477
Cd 0.057 0.751 0.808
Cd 0.249 0.057 0.305
Cd 0.751 0.943 0.695
Cd 0.943 0.249 0.192